Computed, not measured: RbTiS2 after structural relaxation at the PBE-GGA level of DFT.

Properties
Energy relative to the elements, uncorrected in eV per atom: -1.3114
Total moment in μB/atom: 0.2500
Uncorrected energy in eV per atom: -5.59
Space group: C2/m

Lattice parameters (Å, degrees): 3.5132 8.8148 7.0308 100.54 104.50 90.00
Last column: magnetic moment on the atom in μB.
Element x y z (fractional)
S 0.0532 0.6004 0.3754  -0.03
Rb 0.5953 0.3019 0.4595  0.00
S 0.0593 0.9736 0.3874  -0.01
Rb 0.7956 0.0045 0.8612  0.00
Ti 0.5142 0.7793 0.2972  0.81
S 0.3317 0.3328 0.9333  -0.01
Ti 0.8768 0.5271 0.0233  0.81
S 0.3377 0.7060 0.9452  -0.03

***

Computed, not measured: Ti2ZnSiAu after structural relaxation at the PBE-GGA level of DFT.

Properties
Energy relative to the elements, uncorrected in eV per atom: 0.5996
Total moment in μB/atom: 0.0000
Uncorrected energy in eV per atom: -4.55
Space group: P4/mmm

Lattice parameters (Å, degrees): 4.7232 4.2367 4.7232 90.00 90.00 90.00
Element x y z (fractional)
Zn 0.0000 0.0000 0.0000
Ti 0.0000 0.0000 0.5000
Si 0.0000 0.5000 0.0000
Au 0.5000 0.5000 0.5000
Ti 0.5000 0.0000 0.0000

***

Computed, not measured: Ac12Pr3Tl after structural relaxation at the PBE-GGA level of DFT.

Properties
Energy relative to the elements in kJ/mol of formula units: -22
Total moment in μB/atom: 0.0000
Uncorrected energy in eV per atom: -4.14
Space group: P4/mmm

Lattice parameters (Å, degrees): 5.4900 5.4900 22.2076 90.00 90.00 90.00
Element x y z (fractional)
Pr 0.0000 0.0000 0.7523
Ac 0.5000 0.5000 0.2482
Ac 0.5000 0.0000 0.3739
Ac 0.0000 0.5000 0.8780
Ac 0.0000 0.5000 0.3739
Ac 0.0000 0.5000 0.6261
Ac 0.5000 0.5000 0.7518
Ac 0.0000 0.5000 0.1220
Ac 0.5000 0.0000 0.6261
Tl 0.0000 0.0000 0.0000
Ac 0.5000 0.0000 0.8780
Pr 0.0000 0.0000 0.5000
Pr 0.0000 0.0000 0.2477
Ac 0.5000 0.5000 0.5000
Ac 0.5000 0.5000 0.0000
Ac 0.5000 0.0000 0.1220

***

Computed, not measured: ZnIn2Sn after structural relaxation at the PBE-GGA level of DFT.

Properties
Energy relative to the elements in kJ/mol of formula units: 36
Total moment in μB/atom: 0.0000
Uncorrected energy in eV per atom: -2.59
Space group: Fm-3m

Lattice parameters (Å, degrees): 5.2288 5.2288 5.2288 60.00 60.00 60.00
Element x y z (fractional)
Sn 0.5000 0.5000 0.5000
Zn 0.0000 0.0000 0.0000
In 0.2500 0.2500 0.2500
In 0.7500 0.7500 0.7500

***

Computed, not measured: Ca2GePd2 after structural relaxation at the PBE-GGA level of DFT.

Properties
Energy relative to the elements in kJ/mol of formula units: -297
Total moment in μB/atom: 0.0000
Uncorrected energy in eV per atom: -4.42
Space group: P4/mbm

Lattice parameters (Å, degrees): 7.0707 7.0707 4.3057 90.00 90.00 90.00
Element x y z (fractional)
Ca 0.1722 0.6722 0.5000
Pd 0.6405 0.1405 0.0000
Ge 0.5000 0.5000 0.0000
Pd 0.3595 0.8595 0.0000
Ca 0.6722 0.8278 0.5000
Pd 0.8595 0.6405 0.0000
Pd 0.1405 0.3595 0.0000
Ca 0.3278 0.1722 0.5000
Ge 0.0000 0.0000 0.0000
Ca 0.8278 0.3278 0.5000

***

Computed, not measured: Ni5Pb after structural relaxation at the PBE-GGA level of DFT.

Properties
Energy relative to the elements in kJ/mol of formula units: 80
Total moment in μB/atom: 0.1658
Uncorrected energy in eV per atom: -5.30
Space group: C2/m

Lattice parameters (Å, degrees): 4.4482 4.4482 5.4064 74.61 74.61 49.04
Last column: magnetic moment on the atom in μB.
Element x y z (fractional)
Ni 0.1617 0.1617 0.6980  0.10
Ni 0.8383 0.8383 0.3020  0.10
Ni 0.5000 0.5000 0.0000  0.32
Ni 0.1757 0.1757 0.1450  0.28
Pb 0.5000 0.5000 0.5000  -0.01
Ni 0.8243 0.8243 0.8550  0.28

***

Computed, not measured: LiHgAs2 after structural relaxation at the PBE-GGA level of DFT.

Properties
Energy relative to the elements in kJ/mol of formula units: 6
Total moment in μB/atom: 0.0000
Uncorrected energy in eV per atom: -2.86
Space group: C2/m

Lattice parameters (Å, degrees): 6.2311 5.2952 3.1015 84.32 70.77 119.47
Element x y z (fractional)
Hg 0.0000 0.5000 0.5000
Li 0.5000 0.5000 0.0000
As 0.0000 0.0000 0.0000
As 0.5000 0.0000 0.5000

***

Computed, not measured: Pr2Zn3Pd5 after structural relaxation at the PBE-GGA level of DFT.

Properties
Energy relative to the elements in kJ/mol of formula units: -620
Total moment in μB/atom: 0.0000
Uncorrected energy in eV per atom: -4.58
Energy above the most stable polymorph in this dataset in meV per atom: 0.0
Space group: Ibam

Lattice parameters (Å, degrees): 5.6802 8.8298 8.8298 68.31 71.24 71.24
Element x y z (fractional)
Zn 0.3457 0.5834 0.7252
Zn 0.7500 0.0000 0.0000
Zn 0.8457 0.7252 0.5834
Pr 0.1416 0.5964 0.1204
Pd 0.7500 0.5000 0.5000
Pr 0.8584 0.4036 0.8796
Pd 0.4210 0.2769 0.8811
Pd 0.0790 0.1189 0.7231
Pd 0.5790 0.7231 0.1189
Pr 0.6416 0.1204 0.5964
Pd 0.9210 0.8811 0.2769
Pd 0.2500 0.5000 0.5000
Zn 0.2500 0.0000 0.0000
Pd 0.5546 0.1954 0.1954
Pd 0.9454 0.8046 0.8046
Pr 0.3584 0.8796 0.4036
Pd 0.4454 0.8046 0.8046
Zn 0.6543 0.4166 0.2748
Zn 0.1543 0.2748 0.4166
Pd 0.0546 0.1954 0.1954

***

Computed, not measured: AcScTlPd after structural relaxation at the PBE-GGA level of DFT.

Properties
Energy relative to the elements in kJ/mol of formula units: -139
Total moment in μB/atom: 0.0000
Uncorrected energy in eV per atom: -4.86
Space group: F-43m

Lattice parameters (Å, degrees): 5.3148 5.3148 5.3148 60.00 60.00 60.00
Element x y z (fractional)
Pd 0.7500 0.7500 0.7500
Sc 0.0000 0.0000 0.0000
Tl 0.2500 0.2500 0.2500
Ac 0.5000 0.5000 0.5000

***

Computed, not measured: Pa4Rh after structural relaxation at the PBE-GGA level of DFT.

Properties
Energy relative to the elements in kJ/mol of formula units: 228
Total moment in μB/atom: 0.0001
Uncorrected energy in eV per atom: -8.59
Energy above the most stable polymorph in this dataset in meV per atom: 619.0
Space group: Pm-3m

Lattice parameters (Å, degrees): 5.2466 5.2466 5.2466 90.00 90.00 90.00
Element x y z (fractional)
Pa 0.0000 0.0000 0.0000
Pa 0.5000 0.0000 0.5000
Pa 0.5000 0.5000 0.0000
Rh 0.5000 0.5000 0.5000
Pa 0.0000 0.5000 0.5000

***

Computed, not measured: Sr2AlPb2 after structural relaxation at the PBE-GGA level of DFT.

Properties
Energy relative to the elements in kJ/mol of formula units: 88
Total moment in μB/atom: 0.0000
Uncorrected energy in eV per atom: -2.72
Energy above the most stable polymorph in this dataset in meV per atom: 508.9
Space group: I4/mmm

Lattice parameters (Å, degrees): 5.6377 5.6377 7.6125 68.27 68.27 90.00
Element x y z (fractional)
Pb 0.6079 0.6079 0.7842
Pb 0.3921 0.3921 0.2158
Al 0.0000 0.0000 0.0000
Sr 0.7500 0.2500 0.5000
Sr 0.2500 0.7500 0.5000

***

Computed, not measured: CrPt4Rh4 after structural relaxation at the PBE-GGA level of DFT.

Properties
Energy relative to the elements in kJ/mol of formula units: 125
Total moment in μB/atom: 0.0643
Uncorrected energy in eV per atom: -6.88
Space group: C2

Lattice parameters (Å, degrees): 9.2839 4.9002 7.4362 109.24 148.39 90.00
Last column: magnetic moment on the atom in μB.
Element x y z (fractional)
Pt 0.1596 0.6159 0.8670  -0.05
Rh 0.2310 0.4309 0.5738  -0.16
Rh 0.5000 0.1315 0.0000  -0.07
Pt 0.8404 0.7490 0.1330  -0.05
Rh 0.7690 0.8571 0.4262  -0.16
Cr 0.0000 0.9288 0.0000  1.22
Pt 0.5594 0.0343 0.7014  -0.05
Rh 0.0000 0.4197 0.0000  -0.10
Pt 0.4406 0.3329 0.2986  -0.05

***

Computed, not measured: Sm2YHo4 after structural relaxation at the PBE-GGA level of DFT.

Properties
Energy relative to the elements in kJ/mol of formula units: 32
Total moment in μB/atom: 0.0000
Uncorrected energy in eV per atom: -4.84
Energy above the most stable polymorph in this dataset in meV per atom: 0.0
Space group: C2/m

Lattice parameters (Å, degrees): 3.5421 8.7383 8.5954 119.30 101.90 90.02
Element x y z (fractional)
Sm 0.9311 0.5688 0.8601
Sm 0.0689 0.4312 0.1399
Y 0.0000 0.0000 0.0000
Ho 0.6455 0.8425 0.2899
Ho 0.7040 0.2937 0.4093
Ho 0.3545 0.1575 0.7101
Ho 0.2960 0.7063 0.5907

***

Computed, not measured: BaFeAg after structural relaxation at the PBE-GGA level of DFT.

Properties
Energy relative to the elements in kJ/mol of formula units: 109
Total moment in μB/atom: 0.9065
Uncorrected energy in eV per atom: -4.04
Space group: P-6m2

Lattice parameters (Å, degrees): 4.5405 4.5405 4.8045 90.00 90.00 120.00
Last column: magnetic moment on the atom in μB.
Element x y z (fractional)
Ag 0.0000 0.0000 0.8333  0.04
Ba 0.6667 0.3333 0.3334  -0.09
Fe 0.3333 0.6667 0.8333  2.93

***

Computed, not measured: ZrCu4Si2 after structural relaxation at the PBE-GGA level of DFT.

Properties
Energy relative to the elements, uncorrected in eV per atom: -0.3655
Total moment in μB/atom: 0.0000
Uncorrected energy in eV per atom: -5.48
Space group: P4_2/mnm

Lattice parameters (Å, degrees): 3.8051 7.1175 7.1175 90.00 90.00 90.00
Element x y z (fractional)
Cu 0.5000 0.4081 0.8424
Cu 0.5000 0.8424 0.4081
Cu 0.5000 0.5919 0.1576
Zr 0.0000 0.5000 0.5000
Si 0.5000 0.7150 0.7150
Cu 0.0000 0.0919 0.3424
Cu 0.0000 0.9081 0.6576
Cu 0.0000 0.3424 0.0919
Si 0.5000 0.2850 0.2850
Si 0.0000 0.7850 0.2150
Si 0.0000 0.2150 0.7850
Cu 0.0000 0.6576 0.9081
Cu 0.5000 0.1576 0.5919
Zr 0.5000 0.0000 0.0000

***

Computed, not measured: CrBTeAs2 after structural relaxation at the PBE-GGA level of DFT.

Properties
Energy relative to the elements, uncorrected in eV per atom: 1.1306
Total moment in μB/atom: 0.0000
Uncorrected energy in eV per atom: -4.62
Space group: P4/mmm

Lattice parameters (Å, degrees): 4.4589 5.5769 4.4589 90.00 90.00 90.00
Element x y z (fractional)
As 0.5000 0.0000 0.0000
Cr 0.0000 0.0000 0.0000
B 0.5000 0.5000 0.5000
Te 0.0000 0.5000 0.0000
As 0.0000 0.0000 0.5000

***

Computed, not measured: CsK2O after structural relaxation at the PBE-GGA level of DFT.

Properties
Energy relative to the elements, uncorrected in eV per atom: -0.6354
Total moment in μB/atom: 0.0000
Uncorrected energy in eV per atom: -2.64
Space group: R3m

Lattice parameters (Å, degrees): 4.6461 4.6461 9.2272 75.42 75.42 60.00
Element x y z (fractional)
K 0.0327 0.0327 0.9018
K 0.2955 0.2955 0.1136
O 0.6401 0.6401 0.0798
Cs 0.5317 0.5317 0.4048

***

Computed, not measured: Ac4TlHPd2 after structural relaxation at the PBE-GGA level of DFT.

Properties
Total moment in μB/atom: 0.0000
Uncorrected energy in eV per atom: -4.63
Space group: Cmcm

Lattice parameters (Å, degrees): 4.3903 7.6672 15.6417 90.00 90.00 106.64
Element x y z (fractional)
Tl 0.1098 0.2195 0.7500
Pd 0.6328 0.2656 0.4410
H 0.8340 0.6680 0.7500
Ac 0.5782 0.1563 0.2500
Pd 0.6328 0.2656 0.0590
Ac 0.7313 0.4626 0.8841
Pd 0.3672 0.7344 0.9410
H 0.1660 0.3320 0.2500
Tl 0.8902 0.7805 0.2500
Ac 0.7313 0.4626 0.6159
Pd 0.3672 0.7344 0.5590
Ac 0.2687 0.5374 0.1159
Ac 0.2687 0.5374 0.3841
Ac 0.4218 0.8437 0.7500
Ac 0.0000 0.0000 0.0000
Ac 0.0000 0.0000 0.5000

***

Computed, not measured: La2NdSi after structural relaxation at the PBE-GGA level of DFT.

Properties
Energy relative to the elements, uncorrected in eV per atom: -0.2592
Total moment in μB/atom: 0.0002
Uncorrected energy in eV per atom: -5.27
Energy above the most stable polymorph in this dataset in meV per atom: 122.8
Space group: P4/mmm

Lattice parameters (Å, degrees): 3.9586 3.9586 7.7448 90.00 90.00 90.00
Element x y z (fractional)
La 0.0000 0.0000 0.8066
Si 0.5000 0.5000 0.0000
Nd 0.5000 0.5000 0.5000
La 0.0000 0.0000 0.1934

***

Computed, not measured: Dy2Sc2Sn2C after structural relaxation at the PBE-GGA level of DFT.

Properties
Energy relative to the elements in kJ/mol of formula units: -550
Total moment in μB/atom: 0.0000
Uncorrected energy in eV per atom: -6.40
Space group: I4/mmm

Lattice parameters (Å, degrees): 4.5377 4.5377 8.5060 105.47 105.47 90.00
Element x y z (fractional)
Dy 0.1583 0.1583 0.3166
Dy 0.8417 0.8417 0.6834
Sc 0.5000 0.0000 0.0000
Sn 0.6360 0.6360 0.2720
Sn 0.3640 0.3640 0.7280
Sc 0.0000 0.5000 0.0000
C 0.0000 0.0000 0.0000